# 1
The following is a meta-GGA SCAN calculation of a crystal of Y5Cd relaxed with PBEsol, from the Alexandria database.

abc: 3.5403 3.5403 13.8273
angles: 90.00 90.00 90.00
Site moments in Bohr magnetons follow the coordinates.
Fractional coordinates of all 6 atoms:
Y1 0.0000 0.0000 0.3561  0.32
Y2 0.0000 0.0000 0.6439  0.32
Y3 0.5000 0.5000 0.8228  0.21
Cd1 0.5000 0.5000 0.5000  0.00
Y4 0.0000 0.0000 0.0000  -0.30
Y5 0.5000 0.5000 0.1772  0.21

## Properties
Energy relative to the lowest polymorph listed for this composition, meV/atom: 0.0
E_form, eV/atom: -0.130

***

# 2
The following is a meta-GGA SCAN calculation of a crystal of Sr2ScBr relaxed with PBEsol, from the Alexandria database.

abc: 5.2301 5.2301 6.3466
angles: 114.33 114.33 90.00
Site moments in Bohr magnetons follow the coordinates.
Fractional coordinates of all 4 atoms:
Sr1 0.2500 0.7500 0.5000  0.13
Sr2 0.7500 0.2500 0.5000  0.13
Br1 0.5000 0.5000 0.0000  0.02
Sc1 0.0000 0.0000 0.0000  0.99

## Properties
Energy relative to the lowest polymorph listed for this composition, meV/atom: 289.7
Raw formation energy, eV per atom: -0.04

***

# 3
The following is a meta-GGA SCAN calculation of a crystal of TaCd2Sb relaxed with PBEsol, from the Alexandria database.

abc: 4.8814 4.8814 4.8814
angles: 60.00 60.00 60.00
Fractional coordinates of all 4 atoms:
Ta1 0.2500 0.2500 0.2500
Sb1 0.5000 0.5000 0.5000
Cd1 0.7500 0.7500 0.7500
Cd2 0.0000 0.0000 0.0000

## Properties
Raw formation energy, eV per atom: 0.61

***

Number 1: D(E_F) 0.94 states/eV per atom, magnetization 1.136 μB/f.u.. Number 2: D(E_F) 1.56 states/eV per atom, magnetization 2.619 μB/f.u.. Number 3: D(E_F) 0.74 states/eV per atom, magnetization 0.003 μB/f.u..